# 1
## Sm4AlCu3 (PBE-GGA)

Data for an optimized crystal structure of Sm4AlCu3.

Its formation energy from the elements is -0.21 eV per atom. Its volume is 23.63 Å³/atom. The crystal system is orthorhombic. The final energy comes out at -4.576 eV/atom.

The structure belongs to space group Pmm2 (No. 25); the cell edges are 3.739, 4.508 and 11.215 Å and the angles 90.00°, 90.00° and 90.00°. The distinct sites, in fractional coordinates, are Sm at (0.000, 0.000, 0.000), Sm at (0.000, 0.500, 0.276), Sm at (0.500, 0.000, 0.481), Sm at (0.500, 0.500, 0.791), Al at (0.000, 0.000, 0.702), Cu at (0.000, 0.500, 0.570), Cu at (0.500, 0.000, 0.202) and Cu at (0.500, 0.500, 0.073).


# 2
## Tb2Pm4Ho3 (PBE-GGA)

Data for an optimized crystal structure of Tb2Pm4Ho3.

Its formation energy from the elements is 0.05 eV per atom. Its volume is 32.64 Å³/atom. The crystal system is orthorhombic. The final energy comes out at -4.617 eV/atom.

The structure belongs to space group Cccm (No. 66); the cell edges are 9.792, 16.958 and 7.076 Å and the angles 90.00°, 90.00° and 90.00°. The distinct sites, in fractional coordinates, are Tb at (0.187, 0.161, 0.000), Pm at (0.148, 0.173, 0.500), Pm at (0.165, 0.485, 0.500), Ho at (0.000, 0.000, 0.250) and Ho at (0.000, 0.331, 0.250).


# 3
## Sc2MoW (PBE-GGA)

Data for an optimized crystal structure of Sc2MoW.

Its formation energy from the elements is 0.48 eV per atom. Its volume is 18.26 Å³/atom. The crystal system is cubic. The final energy comes out at -8.629 eV/atom.

The structure belongs to space group Fm-3m (No. 225); the cell edges are 6.635, 6.635 and 6.635 Å and the angles 90.00°, 90.00° and 90.00°. The distinct sites, in fractional coordinates, are Sc at (0.250, 0.250, 0.250), Mo at (0.000, 0.000, 0.000) and W at (0.000, 0.000, 0.500).


# 4
## Ba3Li2H8 (PBE-GGA)

Data for an optimized crystal structure of Ba3Li2H8.

Its volume is 15.20 Å³/atom. The crystal system is trigonal. The final energy comes out at -3.240 eV/atom.

The structure belongs to space group R-3m (No. 166, hexagonal axes); the cell edges are 5.6069, 5.6069 and 21.7750 Å and the angles 90.00°, 90.00° and 120.00°. The distinct sites, in fractional coordinates, are Ba at (0.0000, 0.0000, 0.0000), Ba at (0.0000, 0.0000, 0.2076), Li at (0.0000, 0.0000, 0.4110), H at (0.0000, 0.0000, 0.3272) and H at (0.0180, 0.5090, 0.7725).


# 5
## ScInCoAg (PBE-GGA)

Data for an optimized crystal structure of ScInCoAg.

Its formation energy from the elements is -0.16 eV per atom. Its volume is 17.48 Å³/atom. The crystal system is cubic. The final energy comes out at -4.916 eV/atom.

The structure belongs to space group F-43m (No. 216); the cell edges are 6.540, 6.540 and 6.540 Å and the angles 90.00°, 90.00° and 90.00°. The distinct sites, in fractional coordinates, are Sc at (0.000, 0.000, 0.000), In at (0.000, 0.000, 0.500), Co at (0.250, 0.250, 0.750) and Ag at (0.250, 0.250, 0.250).


# 6
## Y8C3Se4N (PBE-GGA)

Data for an optimized crystal structure of Y8C3Se4N.

Its volume is 19.99 Å³/atom. The crystal system is trigonal. The final energy comes out at -7.677 eV/atom. The uncorrected formation energy is -1324 meV/atom.

The structure belongs to space group R-3m (No. 166, hexagonal axes); the cell edges are 7.5014, 7.5014 and 19.6930 Å and the angles 90.00°, 90.00° and 120.00°. The distinct sites, in fractional coordinates, are Y at (0.0000, 0.0000, 0.2350), Y at (0.0012, 0.5006, 0.7661), C at (0.0000, 0.5000, 0.5000), Se at (0.0000, 0.0000, 0.0000), Se at (0.0000, 0.5000, 0.0000) and N at (0.0000, 0.0000, 0.5000).


# 7
## BeCoI4 (PBE-GGA)

Data for an optimized crystal structure of BeCoI4.

Its volume is 37.54 Å³/atom. The crystal system is tetragonal. The final energy comes out at -3.115 eV/atom. The uncorrected formation energy is -276 meV/atom.

The structure belongs to space group I-4 (No. 82); the cell edges are 6.444, 6.444 and 10.848 Å and the angles 90.00°, 90.00° and 90.00°. The distinct sites, in fractional coordinates, are Be at (0.000, 0.000, 0.000), Co at (0.000, 0.500, 0.750) and I at (0.211, 0.765, 0.878).


# 8
## Tl3Fe (PBE-GGA)

Data for an optimized crystal structure of Tl3Fe.

Its formation energy from the elements is 0.63 eV per atom. Its volume is 25.61 Å³/atom. The crystal system is cubic. The final energy comes out at -3.260 eV/atom.

The structure belongs to space group Fm-3m (No. 225); the cell edges are 7.428, 7.428 and 7.428 Å and the angles 90.00°, 90.00° and 90.00°. The distinct sites, in fractional coordinates, are Tl at (0.000, 0.000, 0.000), Tl at (0.250, 0.250, 0.250) and Fe at (0.000, 0.000, 0.500).


Please write out number 3 again, unchanged.
## Sc2MoW (PBE-GGA)

Data for an optimized crystal structure of Sc2MoW.

Its formation energy from the elements is 0.48 eV per atom. Its volume is 18.26 Å³/atom. The crystal system is cubic. The final energy comes out at -8.629 eV/atom.

The structure belongs to space group Fm-3m (No. 225); the cell edges are 6.635, 6.635 and 6.635 Å and the angles 90.00°, 90.00° and 90.00°. The distinct sites, in fractional coordinates, are Sc at (0.250, 0.250, 0.250), Mo at (0.000, 0.000, 0.000) and W at (0.000, 0.000, 0.500).


What did the sixth record say?
## Y8C3Se4N (PBE-GGA)

Data for an optimized crystal structure of Y8C3Se4N.

Its volume is 19.99 Å³/atom. The crystal system is trigonal. The final energy comes out at -7.677 eV/atom. The uncorrected formation energy is -1324 meV/atom.

The structure belongs to space group R-3m (No. 166, hexagonal axes); the cell edges are 7.5014, 7.5014 and 19.6930 Å and the angles 90.00°, 90.00° and 120.00°. The distinct sites, in fractional coordinates, are Y at (0.0000, 0.0000, 0.2350), Y at (0.0012, 0.5006, 0.7661), C at (0.0000, 0.5000, 0.5000), Se at (0.0000, 0.0000, 0.0000), Se at (0.0000, 0.5000, 0.0000) and N at (0.0000, 0.0000, 0.5000).